Entry 1:
# HgSe

A relaxed HgSe crystal (PBE, Alexandria).

ΔE_f (raw) = 0.034 eV/atom
size of the total moment = 0.00 μB/atom

Cell: 3.906 6.231 12.730 Å, 90.00 90.00 90.00°
Space group Immm (No. 71)
Unique sites:
Hg 0.000 0.000 0.000
Hg 0.000 0.500 0.322
Se 0.000 0.000 0.353
Se 0.000 0.500 0.000

***

Entry 2:
# Dy5Hg2Ru2

A relaxed Dy5Hg2Ru2 crystal (PBE, Alexandria).

energy of formation from the pure elements = -0.43 eV per atom
size of the total moment = 0.00 μB/atom

Cell: 15.975 7.415 7.599 Å, 90.00 90.00 90.00°
Space group Cmce (No. 64)
Unique sites:
Dy 0.000 0.000 0.000
Dy 0.121 0.173 0.326
Hg 0.217 0.000 0.000
Ru 0.000 0.125 0.629

***

Entry 3:
# TiTl3In

A relaxed TiTl3In crystal (PBE, Alexandria).

energy of formation from the pure elements = 0.40 eV per atom
size of the total moment = 0.29 μB/atom

Cell: 5.477 5.477 5.477 Å, 90.00 90.00 90.00°
Space group Pm-3m (No. 221)
Unique sites:
Ti 0.000 0.000 0.000
Tl 0.000 0.000 0.500
In 0.500 0.500 0.500

***

Entry 4:
# ZnMoW

A relaxed ZnMoW crystal (PBE, Alexandria).

energy of formation from the pure elements = 0.14 eV per atom
energy above the most stable polymorph in this dataset = 0.0000 eV per atom
size of the total moment = 0.00 μB/atom

Cell: 4.4744 4.4744 2.6873 Å, 90.00 90.00 120.00°
Space group P3m1 (No. 156)
Unique sites:
Zn 0.0000 0.0000 0.0000
Mo 0.6667 0.3333 0.3597
W 0.3333 0.6667 0.6418

***

Entry 5:
# DyHo2Er3

A relaxed DyHo2Er3 crystal (PBE, Alexandria).

energy of formation from the pure elements = 0.12 eV per atom
energy above the most stable polymorph in this dataset = 0.0982 eV per atom
size of the total moment = 0.00 μB/atom

Cell: 17.503 3.462 13.975 Å, 90.00 117.51 90.00°
Space group C2/m (No. 12)
Unique sites:
Dy 0.062 0.000 0.144
Ho 0.158 0.000 0.968
Ho 0.181 0.500 0.384
Er 0.040 0.500 0.712
Er 0.099 0.000 0.525
Er 0.240 0.000 0.793

***

Entry 6:
# AuICl2

A relaxed AuICl2 crystal (PBE, Alexandria).

ΔE_f (raw) = 0.056 eV/atom
energy above the most stable polymorph in this dataset = 0.2642 eV per atom
size of the total moment = 0.00 μB/atom

Cell: 4.2263 4.2263 23.8404 Å, 90.00 90.00 120.00°
Space group R-3m (No. 166, hexagonal axes)
Unique sites:
Au 0.0000 0.0000 0.0000
I 0.0000 0.0000 0.5000
Cl 0.0000 0.0000 0.3902

***

Entry 7:
# CeTiBO5

A relaxed CeTiBO5 crystal (PBE, Alexandria).

ΔE_f (raw) = -2.943 eV/atom
size of the total moment = 0.13 μB/atom

Cell: 6.394 8.606 6.900 Å, 90.00 111.95 90.00°
Space group C2/c (No. 15)
Unique sites:
Ce 0.000 0.155 0.250
Ti 0.000 0.500 0.000
B 0.000 0.184 0.750
O 0.000 0.419 0.250
O 0.101 0.283 0.628
O 0.170 0.077 0.906

***

Entry 8:
# ZrTlFe2

A relaxed ZrTlFe2 crystal (PBE, Alexandria).

energy of formation from the pure elements = 0.14 eV per atom
energy above the most stable polymorph in this dataset = 0.0000 eV per atom
size of the total moment = 1.15 μB/atom

Cell: 3.145 3.145 6.997 Å, 90.00 90.00 90.00°
Space group P4mm (No. 99)
Unique sites:
Zr 0.000 0.000 0.000
Tl 0.500 0.500 0.335
Fe 0.000 0.000 0.594
Fe 0.500 0.500 0.760